[1]
VSiMoIr: relaxed, PBE.

The structure in CIF format:
```
data_VSiMoIr
_space_group_name_H-M_alt 'F -4 3 m'
_space_group_IT_number 216
_space_group_name_Hall 'F -4 2 3'
_cell_length_a 6.041
_cell_length_b 6.041
_cell_length_c 6.041
_cell_angle_alpha 90.00
_cell_angle_beta 90.00
_cell_angle_gamma 90.00
loop_
_atom_site_label
_atom_site_type_symbol
_atom_site_fract_x
_atom_site_fract_y
_atom_site_fract_z
V1 V 0.000 0.000 0.000
Si1 Si 0.000 0.000 0.500
Mo1 Mo 0.250 0.250 0.250
Ir1 Ir 0.250 0.250 0.750
```

Its crystal system is cubic. The calculation puts the total energy at -143.98 eV per cell.


[2]
LiY2Ge: relaxed, PBE.

The structure in CIF format:
```
data_LiY2Ge
_space_group_name_H-M_alt 'P 4/m m m'
_space_group_IT_number 123
_space_group_name_Hall '-P 4 2'
_cell_length_a 4.814
_cell_length_b 4.814
_cell_length_c 3.973
_cell_angle_alpha 90.00
_cell_angle_beta 90.00
_cell_angle_gamma 90.00
loop_
_atom_site_label
_atom_site_type_symbol
_atom_site_fract_x
_atom_site_fract_y
_atom_site_fract_z
Li1 Li 0.000 0.000 0.000
Y1 Y 0.000 0.500 0.500
Ge1 Ge 0.500 0.500 0.000
```

The value obtained for the formation energy is -42.2 kJ per mole of atoms. Its crystal system is tetragonal. The calculation puts the total energy at -21.21 eV per cell.


[3]
KSr2Sb: relaxed, PBE.

The structure in CIF format:
```
data_KSr2Sb
_space_group_name_H-M_alt 'F -4 3 m'
_space_group_IT_number 216
_space_group_name_Hall 'F -4 2 3'
_cell_length_a 8.704
_cell_length_b 8.704
_cell_length_c 8.704
_cell_angle_alpha 90.00
_cell_angle_beta 90.00
_cell_angle_gamma 90.00
loop_
_atom_site_label
_atom_site_type_symbol
_atom_site_fract_x
_atom_site_fract_y
_atom_site_fract_z
K1 K 0.000 0.000 0.000
Sr1 Sr 0.000 0.000 0.500
Sr2 Sr 0.250 0.250 0.250
Sb1 Sb 0.250 0.250 0.750
```

Its crystal system is cubic. The calculation puts the total energy at -37.28 eV per cell.


[4]
CsCd7In2: relaxed, PBE.

The structure in CIF format:
```
data_CsCd7In2
_space_group_name_H-M_alt 'C m m m'
_space_group_IT_number 65
_space_group_name_Hall '-C 2 2'
_cell_length_a 7.498
_cell_length_b 22.430
_cell_length_c 3.482
_cell_angle_alpha 90.00
_cell_angle_beta 90.00
_cell_angle_gamma 90.00
loop_
_atom_site_label
_atom_site_type_symbol
_atom_site_fract_x
_atom_site_fract_y
_atom_site_fract_z
Cs1 Cs 0.000 0.000 0.000
Cd1 Cd 0.000 0.392 0.000
Cd2 Cd 0.000 0.500 0.500
Cd3 Cd 0.191 0.146 0.500
In1 In 0.000 0.267 0.500
```

The value obtained for the formation energy is 4.7 kJ per mole of atoms. Its crystal system is orthorhombic. The calculation puts the total energy at -24.50 eV per cell.